Density functional theory data (SCAN) for a crystal of AgMo4Se relaxed with PBEsol.

```
6
Lattice="0.000 3.692 3.692 3.692 0.000 3.692 3.692 3.692 0.000" Properties=species:S:1:pos:R:3 pbc="T T T"
Ag 0.000 0.000 0.000
Mo 4.628 2.755 2.755
Mo 2.755 4.628 2.755
Mo 2.755 2.755 4.628
Mo 4.628 4.628 4.628
Se 1.846 1.846 1.846
```

Properties
For the uncorrected formation energy, the calculation gives 73.6 kJ/mol of atoms.

---

Density functional theory data (SCAN) for a crystal of AgPt3 relaxed with PBEsol.

```
12
Lattice="-1.965 3.996 5.835 1.965 -3.996 5.835 1.965 3.996 -5.835" Properties=species:S:1:pos:R:3 pbc="T T T"
Ag 0.000 0.000 0.000
Ag 1.965 0.000 1.872
Ag 0.000 3.996 3.963
Pt 1.965 -1.943 3.882
Pt 1.965 2.098 0.000
Pt 0.000 0.000 3.836
Pt 0.000 2.053 1.952
Pt 0.000 3.996 0.000
Pt 1.965 1.943 3.882
Pt 0.000 0.000 7.833
Pt 0.000 1.898 5.835
Pt 0.000 5.938 1.952
```

Properties
Its formation energy is 0.0453 eV/atom.

---

Density functional theory data (SCAN) for a crystal of TlIn2Se2 relaxed with PBEsol.

```
10
Lattice="5.302 0.000 0.000 0.000 5.302 0.000 0.000 0.000 9.469" Properties=species:S:1:pos:R:3 pbc="T T T"
Tl 0.000 0.000 0.000
Tl 2.651 2.651 4.734
In 0.000 0.000 3.323
In 0.000 0.000 6.146
In 2.651 2.651 1.411
In 2.651 2.651 8.058
Se 0.000 2.651 2.367
Se 0.000 2.651 7.102
Se 2.651 0.000 2.367
Se 2.651 0.000 7.102
```

Properties
For the uncorrected formation energy, the calculation gives -37.5 kJ/mol of atoms.

---

Density functional theory data (SCAN) for a crystal of SrLi2Tl relaxed with PBEsol.

```
4
Lattice="3.771 0.000 0.000 0.000 5.059 0.000 -0.669 0.000 5.817" Properties=species:S:1:pos:R:3 pbc="T T T"
Sr 0.000 0.000 0.000
Li 0.703 2.529 3.977
Li 2.400 2.529 1.840
Tl 1.551 0.000 2.909
```

Properties
Its formation energy is -0.2267 eV/atom.

---

Density functional theory data (SCAN) for a crystal of Cs2KDyCl6 relaxed with PBEsol.

```
10
Lattice="0.000 5.538 5.538 5.538 0.000 5.538 5.538 5.538 0.000" Properties=species:S:1:pos:R:3 pbc="T T T"
Cs 2.769 2.769 2.769
Cs 8.307 8.307 8.307
K 0.000 0.000 0.000
Dy 5.538 5.538 5.538
Cl 5.538 5.538 2.938
Cl 5.538 2.938 5.538
Cl 8.137 5.538 5.538
Cl 2.938 5.538 5.538
Cl 5.538 8.137 5.538
Cl 5.538 5.538 8.137
```

Properties
For the uncorrected formation energy, the calculation gives -232.3 kJ/mol of atoms.

---

Density functional theory data (SCAN) for a crystal of MgGeRu3 relaxed with PBEsol.

```
5
Lattice="4.484 0.000 0.000 0.000 4.484 0.000 0.000 0.000 4.484" Properties=species:S:1:pos:R:3 pbc="T T T"
Mg 0.000 0.000 0.000
Ge 2.242 2.242 2.242
Ru 0.000 2.242 2.242
Ru 2.242 0.000 2.242
Ru 2.242 2.242 0.000
```

Properties
Its formation energy is 0.7791 eV/atom.

---

Density functional theory data (SCAN) for a crystal of SrTaC2 relaxed with PBEsol.

```
16
Lattice="5.951 0.000 0.000 0.000 5.951 0.000 0.000 0.000 5.951" Properties=species:S:1:pos:R:3 pbc="T T T"
Sr 0.000 0.000 0.000
Sr 0.000 2.975 2.975
Sr 2.975 0.000 2.975
Sr 2.975 2.975 0.000
Ta 0.000 0.000 2.975
Ta 0.000 2.975 0.000
Ta 2.975 0.000 0.000
Ta 2.975 2.975 2.975
C 1.488 1.488 1.488
C 1.488 1.488 4.463
C 1.488 4.463 1.488
C 1.488 4.463 4.463
C 4.463 1.488 1.488
C 4.463 1.488 4.463
C 4.463 4.463 1.488
C 4.463 4.463 4.463
```

Properties
Its formation energy is 1.5848 eV/atom.

---

Density functional theory data (SCAN) for a crystal of La2YRu2 relaxed with PBEsol.

```
10
Lattice="4.622 0.000 0.000 0.000 4.622 0.000 0.000 0.000 11.293" Properties=species:S:1:pos:R:3 pbc="T T T"
La 0.000 2.311 2.823
La 0.000 2.311 8.470
La 2.311 0.000 2.823
La 2.311 0.000 8.470
Y 0.000 0.000 0.000
Y 2.311 2.311 5.647
Ru 0.000 0.000 4.394
Ru 0.000 0.000 6.900
Ru 2.311 2.311 1.253
Ru 2.311 2.311 10.040
```

Properties
Its formation energy is 0.0653 eV/atom.

---

Density functional theory data (SCAN) for a crystal of Li3Fe3O8 relaxed with PBEsol.

```
14
Lattice="2.784 1.607 4.782 -2.784 1.607 4.782 0.000 -3.214 4.782" Properties=species:S:1:pos:R:3 pbc="T T T"
Li 0.000 0.000 0.000
Li 0.000 0.000 5.436
Li 0.000 0.000 8.911
Fe -2.784 0.000 7.174
Fe -1.392 0.804 2.391
Fe 1.392 0.804 2.391
O -1.505 -0.869 8.178
O 0.000 0.000 3.408
O 0.000 -1.738 6.169
O -1.505 0.869 6.169
O 1.505 -0.869 8.178
O 0.000 1.738 8.178
O 0.000 0.000 10.939
O 1.505 0.869 6.169
```

Properties
For the uncorrected formation energy, the calculation gives -167.6 kJ/mol of atoms.

---

Density functional theory data (SCAN) for a crystal of Cr2ReTcPb relaxed with PBEsol.

```
5
Lattice="4.627 0.000 0.000 0.000 4.627 0.000 0.000 0.000 4.685" Properties=species:S:1:pos:R:3 pbc="T T T"
Cr 0.000 2.313 0.000
Cr 2.313 0.000 0.000
Re 0.000 0.000 0.000
Tc 0.000 0.000 2.343
Pb 2.313 2.313 2.343
```

Properties
Its formation energy is 1.1323 eV/atom.

---

Density functional theory data (SCAN) for a crystal of MgMoRu2 relaxed with PBEsol.

```
8
Lattice="2.912 0.000 0.000 0.000 4.477 0.000 0.000 0.000 9.106" Properties=species:S:1:pos:R:3 pbc="T T T"
Mg 0.000 0.000 0.000
Mg 1.456 2.239 0.000
Mo 0.000 2.239 6.633
Mo 1.456 0.000 6.633
Ru 0.000 0.000 4.447
Ru 0.000 2.239 2.247
Ru 1.456 0.000 2.247
Ru 1.456 2.239 4.447
```

Properties
Its formation energy is 0.3364 eV/atom.

---

Density functional theory data (SCAN) for a crystal of SbSe relaxed with PBEsol.

```
4
Lattice="3.554 0.000 0.000 0.000 3.554 0.000 0.000 0.000 8.076" Properties=species:S:1:pos:R:3 pbc="T T T"
Sb 0.889 0.889 1.281
Sb 2.666 2.666 6.795
Se 0.889 0.889 5.483
Se 2.666 2.666 2.593
```

Properties
For the uncorrected formation energy, the calculation gives 8.6 kJ/mol of atoms.

---

Density functional theory data (SCAN) for a crystal of Mg2CoReB relaxed with PBEsol.

```
5
Lattice="4.977 0.000 0.000 0.000 4.977 0.000 0.000 0.000 3.967" Properties=species:S:1:pos:R:3 pbc="T T T"
Mg 0.000 2.489 0.000
Mg 2.489 0.000 0.000
Co 0.000 0.000 1.983
Re 2.489 2.489 0.000
B 2.489 2.489 1.983
```

Properties
Its formation energy is 1.2592 eV/atom.

---

Density functional theory data (SCAN) for a crystal of YTa2Fe2 relaxed with PBEsol.

```
10
Lattice="4.194 0.000 0.000 0.000 4.194 0.000 0.000 0.000 9.793" Properties=species:S:1:pos:R:3 pbc="T T T"
Y 0.000 0.000 0.000
Y 2.097 2.097 4.896
Ta 0.000 2.097 2.448
Ta 0.000 2.097 7.344
Ta 2.097 0.000 2.448
Ta 2.097 0.000 7.344
Fe 0.000 0.000 3.785
Fe 0.000 0.000 6.007
Fe 2.097 2.097 1.111
Fe 2.097 2.097 8.682
```

Properties
Its formation energy is -0.0151 eV/atom.

---

Density functional theory data (SCAN) for a crystal of BaSbPd2F relaxed with PBEsol.

```
5
Lattice="5.238 0.000 0.000 0.000 5.238 0.000 0.000 0.000 6.523" Properties=species:S:1:pos:R:3 pbc="T T T"
Ba 0.000 0.000 0.000
Sb 0.000 0.000 3.261
Pd 0.000 2.619 0.000
Pd 2.619 0.000 0.000
F 2.619 2.619 3.261
```

Properties
For the uncorrected formation energy, the calculation gives 92.9 kJ/mol of atoms.

---

Density functional theory data (SCAN) for a crystal of TcTeRuN2 relaxed with PBEsol.

```
5
Lattice="3.764 0.000 0.000 0.000 3.764 0.000 0.000 0.000 5.571" Properties=species:S:1:pos:R:3 pbc="T T T"
Tc 0.000 0.000 0.000
Te 0.000 0.000 2.785
Ru 1.882 1.882 2.785
N 0.000 1.882 0.000
N 1.882 0.000 0.000
```

Properties
For the uncorrected formation energy, the calculation gives 89.9 kJ/mol of atoms.

---

Density functional theory data (SCAN) for a crystal of KSrSi2 relaxed with PBEsol.

```
8
Lattice="11.187 0.000 0.000 0.000 3.967 0.000 -4.931 0.000 6.254" Properties=species:S:1:pos:R:3 pbc="T T T"
K 0.000 0.000 0.000
K 5.594 1.983 0.000
Sr -2.466 1.983 3.127
Sr 3.128 0.000 3.127
Si -0.117 0.000 3.608
Si 0.780 1.983 2.645
Si 5.476 1.983 3.608
Si 6.374 0.000 2.645
```

Properties
For the uncorrected formation energy, the calculation gives -14.3 kJ/mol of atoms. The relative energy among the computed polymorphs is 0 meV per atom.

---

Density functional theory data (SCAN) for a crystal of BaZr2Br relaxed with PBEsol.

```
4
Lattice="3.334 0.000 0.000 0.000 3.334 0.000 0.000 0.000 9.741" Properties=species:S:1:pos:R:3 pbc="T T T"
Ba 0.000 0.000 0.000
Zr 0.000 0.000 5.080
Zr 1.667 1.667 3.087
Br 1.667 1.667 7.147
```

Properties
For the uncorrected formation energy, the calculation gives -23.5 kJ/mol of atoms. The relative energy among the computed polymorphs is 0 meV per atom.

---

Density functional theory data (SCAN) for a crystal of SnIrN2O relaxed with PBEsol.

```
5
Lattice="3.817 0.000 0.000 0.000 3.817 0.000 0.000 0.000 4.229" Properties=species:S:1:pos:R:3 pbc="T T T"
Sn 0.000 0.000 0.000
Ir 1.908 1.908 2.114
N 0.000 1.908 2.114
N 1.908 0.000 2.114
O 1.908 1.908 0.000
```

Properties
For the uncorrected formation energy, the calculation gives 49.8 kJ/mol of atoms.

---

Density functional theory data (SCAN) for a crystal of CaLaSc2 relaxed with PBEsol.

```
8
Lattice="3.917 0.000 0.000 0.000 5.506 0.000 0.000 0.000 10.835" Properties=species:S:1:pos:R:3 pbc="T T T"
Ca 0.000 0.000 0.000
Ca 1.959 2.753 5.417
La 0.000 0.000 5.417
La 1.959 2.753 0.000
Sc 0.000 2.753 2.762
Sc 0.000 2.753 8.073
Sc 1.959 0.000 2.656
Sc 1.959 0.000 8.179
```

Properties
Its formation energy is 0.2324 eV/atom. The relative energy among the computed polymorphs is 36 meV per atom.

---

Density functional theory data (SCAN) for a crystal of MgInGa2I relaxed with PBEsol.

```
5
Lattice="5.196 0.000 0.000 0.000 5.196 0.000 0.000 0.000 5.546" Properties=species:S:1:pos:R:3 pbc="T T T"
Mg 0.000 0.000 0.000
In 0.000 0.000 2.773
Ga 0.000 2.598 0.000
Ga 2.598 0.000 0.000
I 2.598 2.598 2.773
```

Properties
For the uncorrected formation energy, the calculation gives 24.7 kJ/mol of atoms.

---

Density functional theory data (SCAN) for a crystal of CdGeP2O relaxed with PBEsol.

```
5
Lattice="4.893 0.000 0.000 0.000 4.893 0.000 0.000 0.000 3.538" Properties=species:S:1:pos:R:3 pbc="T T T"
Cd 0.000 0.000 0.000
Ge 2.446 2.446 1.769
P 0.000 2.446 1.769
P 2.446 0.000 1.769
O 2.446 2.446 0.000
```

Properties
For the uncorrected formation energy, the calculation gives 21.8 kJ/mol of atoms.

---

Density functional theory data (SCAN) for a crystal of MnTc2Br relaxed with PBEsol.

```
12
Lattice="2.911 0.000 0.000 -1.455 2.521 0.000 0.000 0.000 24.830" Properties=species:S:1:pos:R:3 pbc="T T T"
Mn 0.000 0.000 0.000
Mn 0.000 1.681 16.553
Mn 1.455 0.840 8.277
Tc 0.000 0.000 6.219
Tc 0.000 0.000 12.539
Tc 0.000 1.681 4.263
Tc 0.000 1.681 22.773
Tc 1.455 0.840 14.496
Tc 1.455 0.840 20.816
Br 0.000 0.000 18.551
Br 0.000 1.681 10.274
Br 1.455 0.840 1.998
```

Properties
For the uncorrected formation energy, the calculation gives 31.3 kJ/mol of atoms. The relative energy among the computed polymorphs is 0 meV per atom.

---

Density functional theory data (SCAN) for a crystal of Hf3ZnPt relaxed with PBEsol.

```
5
Lattice="4.744 0.000 0.000 0.000 4.744 0.000 0.000 0.000 4.744" Properties=species:S:1:pos:R:3 pbc="T T T"
Hf 0.000 0.000 2.372
Hf 0.000 2.372 0.000
Hf 2.372 0.000 0.000
Zn 0.000 0.000 0.000
Pt 2.372 2.372 2.372
```

Properties
Its formation energy is 0.5625 eV/atom.

---

Density functional theory data (SCAN) for a crystal of SnSbO2F relaxed with PBEsol.

```
5
Lattice="4.126 0.000 0.000 0.000 4.126 0.000 0.000 0.000 4.297" Properties=species:S:1:pos:R:3 pbc="T T T"
Sn 0.000 0.000 0.000
Sb 2.063 2.063 2.148
O 0.000 2.063 0.000
O 2.063 0.000 0.000
F 0.000 0.000 2.148
```

Properties
For the uncorrected formation energy, the calculation gives -91.7 kJ/mol of atoms.

---

Density functional theory data (SCAN) for a crystal of RuSe2N2 relaxed with PBEsol.

```
5
Lattice="3.607 0.000 0.000 0.000 3.607 0.000 0.000 0.000 6.102" Properties=species:S:1:pos:R:3 pbc="T T T"
Ru 0.000 0.000 0.000
Se 1.803 1.803 0.000
Se 1.803 1.803 3.051
N 0.000 1.803 3.051
N 1.803 0.000 3.051
```

Properties
For the uncorrected formation energy, the calculation gives 173.3 kJ/mol of atoms.

---

Density functional theory data (SCAN) for a crystal of Ta2MnPb relaxed with PBEsol.

```
8
Lattice="3.949 0.000 0.000 0.000 3.949 0.000 0.000 0.000 8.963" Properties=species:S:1:pos:R:3 pbc="T T T"
Ta 0.000 1.975 2.241
Ta 0.000 1.975 6.722
Ta 1.975 0.000 2.241
Ta 1.975 0.000 6.722
Mn 0.000 0.000 0.000
Mn 1.975 1.975 4.481
Pb 0.000 0.000 4.481
Pb 1.975 1.975 0.000
```

Properties
Its formation energy is 0.1847 eV/atom.

---

Density functional theory data (SCAN) for a crystal of Si2PtRh relaxed with PBEsol.

```
4
Lattice="3.303 0.000 0.000 0.000 3.303 0.000 0.000 0.000 5.032" Properties=species:S:1:pos:R:3 pbc="T T T"
Si 0.000 0.000 0.000
Si 1.652 1.652 1.607
Pt 0.000 0.000 2.445
Rh 1.652 1.652 4.240
```

Properties
For the uncorrected formation energy, the calculation gives -76.1 kJ/mol of atoms. The relative energy among the computed polymorphs is 0 meV per atom.

---

| no. | DOS at the Fermi energy (states/eV/f.u.) | M_tot (μB/f.u.) |
| --- | --- | --- |
| 1 | 5.65 | 0.000 |
| 2 | 4.51 | 0.001 |
| 3 | 0.98 | 0.000 |
| 4 | 1.79 | 0.039 |
| 5 | 0.00 | 0.000 |
| 6 | 3.50 | 2.609 |
| 7 | 2.16 | 0.000 |
| 8 | 3.87 | 0.000 |
| 9 | 4.73 | 7.000 |
| 10 | 2.72 | 5.933 |
| 11 | 3.48 | 1.456 |
| 12 | 0.80 | 0.000 |
| 13 | 3.23 | 2.766 |
| 14 | 2.73 | 0.000 |
| 15 | 3.56 | 2.278 |
| 16 | 3.67 | 0.001 |
| 17 | 1.46 | 0.000 |
| 18 | 2.27 | 0.000 |
| 19 | 2.25 | 0.000 |
| 20 | 6.22 | 0.000 |
| 21 | 1.95 | 0.000 |
| 22 | 2.10 | 0.000 |
| 23 | 2.29 | 4.059 |
| 24 | 8.35 | 0.001 |
| 25 | 1.59 | 0.000 |
| 26 | 2.24 | 3.250 |
| 27 | 3.24 | 3.434 |
| 28 | 1.12 | 0.000 |